Record 1
16
Lattice="4.5100 2.6038 8.2416 -4.5100 2.6038 8.2416 0.0000 -5.2077 8.2416" Properties=species:S:1:pos:R:3 comment="K4Sm3ScTe8 | Alexandria via LeMat-Bulk | GGA-PBE | optimized geometry" total_energy_ev_per_atom=-4.4899 formation_energy_uncorrected_ev_per_atom=-1.364 pbc="T T T"
K 0.0000 0.0000 0.0000
K -2.2550 -1.3019 8.2416
K -2.2550 1.3019 16.4832
K 0.0000 2.6038 8.2416
Sm -4.5100 0.0000 12.3624
Sm -2.2550 1.3019 4.1208
Sm 2.2550 1.3019 4.1208
Sc 0.0000 0.0000 12.3624
Te 0.0000 0.0000 5.8905
Te -2.1582 -1.2460 14.0646
Te 0.0000 -2.4921 10.6603
Te -2.1582 1.2460 10.6603
Te 2.1582 -1.2460 14.0646
Te 0.0000 2.4921 14.0646
Te 2.1582 1.2460 10.6603
Te 0.0000 0.0000 18.8344

Record 2
8
Lattice="-2.7870 2.7870 9.8364 2.7870 -2.7870 9.8364 2.7870 2.7870 -9.8364" Properties=species:S:1:pos:R:3 comment="KScSn2 | Alexandria via LeMat-Bulk | GGA-PBE | optimized geometry" dos_at_fermi_per_ev_atom=0.1159 formation_enthalpy_0k_mev_per_atom=35 e_above_lowest_polymorph_kj_per_mol_fu=155 total_energy_ev_per_atom=-3.8239 pbc="T T T"
K 0.0000 0.0000 0.0000
K 0.0000 2.7870 4.9182
Sc 2.7870 0.0000 4.9182
Sc 0.0000 0.0000 9.8364
Sn 1.3935 -0.6928 7.3773
Sn 2.0941 1.3935 2.4591
Sn 1.3935 3.4798 -2.4591
Sn 0.6928 1.3935 12.2954